[1]
DFT (PBE-GGA) results for crystalline TaTlIrO6 at its relaxed geometry.

Output
V = 140.4 Å³/f.u.
DOS(E_F) = 6.83 states/eV/f.u.

CIF file:
```
data_TaTlIrO6
_cell_length_a 7.2382
_cell_length_b 7.4506
_cell_length_c 10.4119
_cell_angle_alpha 90.00
_cell_angle_beta 90.00
_cell_angle_gamma 90.00
_symmetry_space_group_name_H-M 'I m m a'
_symmetry_Int_Tables_number 74
_symmetry_space_group_name_Hall '-I 2b 2'
loop_
_atom_site_label
_atom_site_fract_x
_atom_site_fract_y
_atom_site_fract_z
_atom_site_occupancy
Ta1 0.0000 0.0000 0.0000 1
Tl1 0.0000 0.2500 0.4132 1
Ir1 0.2500 0.2500 0.7500 1
O1 0.0000 0.2500 0.0626 1
O2 0.0000 0.2500 0.6841 1
O3 0.1983 0.0671 0.8763 1
```

***

[2]
DFT (PBE-GGA) results for crystalline TaZnIrO6 at its relaxed geometry.

Output
V = 103.8 Å³/f.u.
DOS(E_F) = 6.17 states/eV/f.u.

CIF file:
```
data_TaZnIrO6
_cell_length_a 4.7218
_cell_length_b 4.7218
_cell_length_c 9.3133
_cell_angle_alpha 90.00
_cell_angle_beta 90.00
_cell_angle_gamma 90.00
_symmetry_space_group_name_H-M 'P 42 n m'
_symmetry_Int_Tables_number 102
loop_
_symmetry_equiv_pos_as_xyz
'x,y,z'
'-y+1/2,x+1/2,z+1/2'
'-x,-y,z'
'y+1/2,-x+1/2,z+1/2'
'-x+1/2,y+1/2,z+1/2'
'y,x,z'
'x+1/2,-y+1/2,z+1/2'
'-y,-x,z'
loop_
_atom_site_label
_atom_site_fract_x
_atom_site_fract_y
_atom_site_fract_z
_atom_site_occupancy
Ta1 0.0000 0.0000 0.0000 1
Zn1 0.0000 0.0000 0.3325 1
Ir1 0.0000 0.0000 0.6653 1
O1 0.1901 0.1901 0.8327 1
O2 0.2009 0.2009 0.5100 1
O3 0.2089 0.2089 0.1545 1
```

***

[3]
DFT (PBE-GGA) results for crystalline Tb6IrO12 at its relaxed geometry.

Output
V = 265.8 Å³/f.u.

CIF file:
```
data_Tb6IrO12
_cell_length_a 9.8756
_cell_length_b 9.8756
_cell_length_c 9.4405
_cell_angle_alpha 90.00
_cell_angle_beta 90.00
_cell_angle_gamma 120.00
_symmetry_space_group_name_H-M 'R -3'
_symmetry_Int_Tables_number 148
_symmetry_space_group_name_Hall '-R 3'
loop_
_atom_site_label
_atom_site_fract_x
_atom_site_fract_y
_atom_site_fract_z
_atom_site_occupancy
Tb1 0.0430 0.2550 0.1437 1
Ir1 0.0000 0.0000 0.5000 1
O1 0.0337 0.2239 0.9014 1
O2 0.0404 0.1864 0.3893 1
```

***

[4]
DFT (PBE-GGA) results for crystalline TbIrO4 at its relaxed geometry.

Output
V = 75.1 Å³/f.u.
DOS(E_F) = 4.19 states/eV/f.u.

CIF file:
```
data_TbIrO4
_cell_length_a 7.6408
_cell_length_b 5.3686
_cell_length_c 7.4207
_cell_angle_alpha 90.00
_cell_angle_beta 99.11
_cell_angle_gamma 90.00
_symmetry_space_group_name_H-M 'P 1 21/c 1'
_symmetry_Int_Tables_number 14
loop_
_symmetry_equiv_pos_as_xyz
'x,y,z'
'-x,-y,-z'
'-x,y+1/2,-z+1/2'
'x,-y+1/2,z+1/2'
loop_
_atom_site_label
_atom_site_fract_x
_atom_site_fract_y
_atom_site_fract_z
_atom_site_occupancy
Tb1 0.1503 0.2181 0.3919 1
Ir1 0.3403 0.7282 0.2012 1
O1 0.1124 0.5228 0.1747 1
O2 0.1883 0.0120 0.1208 1
O3 0.3334 0.6248 0.9458 1
O4 0.4395 0.0923 0.8080 1
```

***

[5]
DFT (PBE-GGA) results for crystalline TbIrO4 at its relaxed geometry.

Output
V = 75.0 Å³/f.u.
DOS(E_F) = 4.51 states/eV/f.u.

CIF file:
```
data_TbIrO4
_cell_length_a 3.7499
_cell_length_b 14.4890
_cell_length_c 5.5252
_cell_angle_alpha 90.00
_cell_angle_beta 90.00
_cell_angle_gamma 90.00
_symmetry_space_group_name_H-M 'C m c 21'
_symmetry_Int_Tables_number 36
loop_
_symmetry_equiv_pos_as_xyz
'x,y,z'
'-x,-y,z+1/2'
'-x,y,z'
'x,-y,z+1/2'
'x+1/2,y+1/2,z'
'-x+1/2,-y+1/2,z+1/2'
'-x+1/2,y+1/2,z'
'x+1/2,-y+1/2,z+1/2'
loop_
_atom_site_label
_atom_site_fract_x
_atom_site_fract_y
_atom_site_fract_z
_atom_site_occupancy
Tb1 0.0000 0.1716 0.0000 1
Ir1 0.0000 0.4152 0.0596 1
O1 0.0000 0.0862 0.5750 1
O2 0.0000 0.2957 0.2517 1
O3 0.0000 0.3392 0.7626 1
O4 0.0000 0.4598 0.4111 1
```

***

[6]
DFT (PBE-GGA) results for crystalline Tb12Ir3O5 at its relaxed geometry.

Output
V = 439.5 Å³/f.u.
DOS(E_F) = 11.79 states/eV/f.u.

CIF file:
```
data_Tb12Ir3O5
_cell_length_a 15.2056
_cell_length_b 15.2056
_cell_length_c 15.2056
_cell_angle_alpha 90.00
_cell_angle_beta 90.00
_cell_angle_gamma 90.00
_symmetry_space_group_name_H-M 'I a -3 d'
_symmetry_Int_Tables_number 230
_symmetry_space_group_name_Hall '-I 4bd 2c 3'
loop_
_atom_site_label
_atom_site_fract_x
_atom_site_fract_y
_atom_site_fract_z
_atom_site_occupancy
Tb1 0.0322 0.0564 0.6519 1
Ir1 0.0000 0.2500 0.1250 1
O1 0.0000 0.0000 0.0000 1
O2 0.0000 0.2500 0.3750 1
```

***

[7]
DFT (PBE-GGA) results for crystalline Tb4Ir2O at its relaxed geometry.

Output
V = 152.9 Å³/f.u.
DOS(E_F) = 3.46 states/eV/f.u.

CIF file:
```
data_Tb4Ir2O
_cell_length_a 4.5637
_cell_length_b 4.5637
_cell_length_c 14.6835
_cell_angle_alpha 90.00
_cell_angle_beta 90.00
_cell_angle_gamma 90.00
_symmetry_space_group_name_H-M 'I 4/m m m'
_symmetry_Int_Tables_number 139
_symmetry_space_group_name_Hall '-I 4 2'
loop_
_atom_site_label
_atom_site_fract_x
_atom_site_fract_y
_atom_site_fract_z
_atom_site_occupancy
Tb1 0.0000 0.0000 0.1833 1
Tb2 0.0000 0.5000 0.0000 1
Ir1 0.0000 0.0000 0.3698 1
O1 0.0000 0.0000 0.0000 1
```

***

[8]
DFT (PBE-GGA) results for crystalline TbIr2O6 at its relaxed geometry.

Output
V = 116.4 Å³/f.u.
DOS(E_F) = 3.71 states/eV/f.u.

CIF file:
```
data_TbIr2O6
_cell_length_a 5.2645
_cell_length_b 5.2645
_cell_length_c 4.8492
_cell_angle_alpha 90.00
_cell_angle_beta 90.00
_cell_angle_gamma 120.00
_symmetry_space_group_name_H-M 'P -3 1 m'
_symmetry_Int_Tables_number 162
_symmetry_space_group_name_Hall '-P 3 2'
loop_
_atom_site_label
_atom_site_fract_x
_atom_site_fract_y
_atom_site_fract_z
_atom_site_occupancy
Tb1 0.0000 0.0000 0.0000 1
Ir1 0.3333 0.6667 0.5000 1
O1 0.0000 0.3587 0.7215 1
```

***

[9]
DFT (PBE-GGA) results for crystalline Tb4Ir6O19 at its relaxed geometry.

Output
V = 368.5 Å³/f.u.
DOS(E_F) = 21.15 states/eV/f.u.

CIF file:
```
data_Tb4Ir6O19
_cell_length_a 9.0325
_cell_length_b 9.0325
_cell_length_c 9.0325
_cell_angle_alpha 90.00
_cell_angle_beta 90.00
_cell_angle_gamma 90.00
_symmetry_space_group_name_H-M 'I 2 3'
_symmetry_Int_Tables_number 197
_symmetry_space_group_name_Hall 'I 2 2 3'
loop_
_atom_site_label
_atom_site_fract_x
_atom_site_fract_y
_atom_site_fract_z
_atom_site_occupancy
Tb1 0.1464 0.1464 0.8536 1
Ir1 0.0000 0.3438 0.5000 1
O1 0.0000 0.0000 0.0000 1
O2 0.0000 0.0000 0.3284 1
O3 0.0143 0.3257 0.7162 1
```

***

Uncorrected formation energy, respectively: -1480.8; -1611.1; -2976.8; -1897.5; -1805.1; -1684.8; -1270.7; -1468.2; -1629.7 meV per atom.